# Pm3Zn8Ru (PBE, relaxed)
# E_tot: -109.74 eV/cell
# energy relative to the elements: -2.86 eV per formula unit
data_Pm3Zn8Ru
_space_group_name_H-M_alt 'R 3 m'
_space_group_IT_number 160
_space_group_name_Hall 'R 3 -2"'
_cell_length_a 5.3467
_cell_length_b 5.3467
_cell_length_c 27.0949
_cell_angle_alpha 90.00
_cell_angle_beta 90.00
_cell_angle_gamma 120.00
loop_
_atom_site_label
_atom_site_fract_x
_atom_site_fract_y
_atom_site_fract_z
_atom_site_occupancy
Pm1 0.0000 0.0000 0.0000 1
Pm2 0.0000 0.0000 0.1260 1
Pm3 0.0000 0.0000 0.6090 1
Zn1 0.0000 0.0000 0.3072 1
Zn2 0.0000 0.0000 0.8098 1
Zn3 0.0022 0.5011 0.5547 1
Zn4 0.0070 0.5035 0.0628 1
Ru1 0.0000 0.0000 0.5037 1